Density functional theory data (GGA-PBE) for an optimized crystal structure of TaCrBr.

Summary:
energy above the most stable polymorph in this dataset = 155.8 meV per atom
E_tot = -7.19 eV per atom
uncorrected formation energy = 0.527 eV/atom
symmetry = No. 107
density of states at the Fermi level = 0.765 states/eV/atom
volume = 19.7 Å³/atom

Cell lengths 6.639, 6.639, 6.639 Å; angles 153.26, 153.26, 38.18 degrees
Positions (direct):
1 Ta 0.000 0.000 0.000
2 Cr 0.637 0.637 0.000
3 Br 0.351 0.351 0.000

Density functional theory data (GGA-PBE) for an optimized crystal structure of Ta2CrBr.

Summary:
energy above the most stable polymorph in this dataset = 117.9 meV per atom
E_tot = -8.33 eV per atom
uncorrected formation energy = 0.422 eV/atom
symmetry = No. 35
density of states at the Fermi level = 0.814 states/eV/atom
volume = 18.5 Å³/atom

Cell lengths 3.026, 3.026, 8.652 Å; angles 90.00, 90.00, 111.31 degrees
Positions (direct):
1 Ta 0.000 0.000 0.000
2 Ta 0.500 0.500 0.254
3 Cr 0.000 0.000 0.486
4 Br 0.500 0.500 0.742

Density functional theory data (GGA-PBE) for an optimized crystal structure of Ta2CrBr.

Summary:
energy above the most stable polymorph in this dataset = 675.3 meV per atom
E_tot = -7.77 eV per atom
uncorrected formation energy = 0.979 eV/atom
symmetry = No. 216
density of states at the Fermi level = 0.808 states/eV/atom
volume = 17.8 Å³/atom

Cell lengths 4.655, 4.655, 4.655 Å; angles 60.00, 60.00, 60.00 degrees
Positions (direct):
1 Ta 0.000 0.000 0.000
2 Ta 0.250 0.250 0.250
3 Cr 0.500 0.500 0.500
4 Br 0.750 0.750 0.750

Density functional theory data (GGA-PBE) for an optimized crystal structure of Ta2CrBr.

Summary:
energy above the most stable polymorph in this dataset = 412.6 meV per atom
E_tot = -8.03 eV per atom
uncorrected formation energy = 0.716 eV/atom
symmetry = No. 71
density of states at the Fermi level = 0.844 states/eV/atom
volume = 16.9 Å³/atom

Cell lengths 5.245, 5.245, 5.245 Å; angles 144.27, 125.48, 66.91 degrees
Positions (direct):
1 Ta 0.240 0.240 0.000
2 Ta 0.760 0.760 0.000
3 Cr 0.000 0.500 0.500
4 Br 0.500 0.000 0.500

Density functional theory data (GGA-PBE) for an optimized crystal structure of TaCrBr.

Summary:
energy above the most stable polymorph in this dataset = 970.9 meV per atom
E_tot = -6.37 eV per atom
uncorrected formation energy = 1.342 eV/atom
symmetry = No. 216
density of states at the Fermi level = 1.340 states/eV/atom
volume = 20.7 Å³/atom

Cell lengths 4.447, 4.447, 4.447 Å; angles 60.00, 60.00, 60.00 degrees
Positions (direct):
1 Ta 0.000 0.000 0.000
2 Cr 0.750 0.750 0.750
3 Br 0.250 0.250 0.250

Density functional theory data (GGA-PBE) for an optimized crystal structure of Ta2CrBr.

Summary:
energy above the most stable polymorph in this dataset = 439.5 meV per atom
E_tot = -8.01 eV per atom
uncorrected formation energy = 0.743 eV/atom
symmetry = No. 47
density of states at the Fermi level = 0.938 states/eV/atom
volume = 17.5 Å³/atom

Cell lengths 3.192, 4.670, 4.684 Å; angles 90.00, 90.00, 90.00 degrees
Positions (direct):
1 Ta 0.000 0.000 0.000
2 Ta 0.500 0.000 0.500
3 Cr 0.000 0.500 0.500
4 Br 0.500 0.500 0.000